Li2InCo at its PBEsol-relaxed geometry. Source: Alexandria, functional SCAN.

Cell lengths 3.0837, 3.0837, 6.2526 Å; angles 90.00, 90.00, 90.00 degrees
Last column: nearest neighbours and their distance in Å.
Positions (direct):
Li 0.0000 0.0000 0.0000  4 Li 2.73, 4 In 2.87, 1 Co 2.96
Li 0.5000 0.5000 0.2621  4 Co 2.55, 4 Li 2.73, 1 In 2.75
In 0.5000 0.5000 0.7026  4 Co 2.61, 5 Li 2.75-2.87
Co 0.0000 0.0000 0.4733  4 Li 2.55, 4 In 2.61

Calculated values
DOS at the Fermi energy (states/eV/cell): 1.59
Calculated volume (Å³/f.u.): 59.5
ΔH_f (0 K) (eV per atom): 0.14
Calculated total energy (eV/f.u.): -54.91